A plane-wave DFT calculation with PBE-GGA was carried out for crystalline Ba12Mg3Pd5 at its relaxed geometry.

Output
The calculation puts the formation energy at -12.7 kJ/mol of atoms. The total magnetic moment is 0.0 μB per formula unit. The electronic total energy comes out at -2.8229 eV per atom.

Unit cell a=17.2871 b=17.2871 c=17.2871 alpha=109.47 beta=109.47 gamma=109.47
Fractional coordinates of all 80 atoms:
Ba  0.0270  0.2053  0.1173
Ba  0.0270  0.3216  0.9096
Ba  0.0880  0.7053  0.6784
Ba  0.0880  0.8827  0.4096
Ba  0.0904  0.6173  0.4120
Ba  0.0904  0.9730  0.6784
Ba  0.1173  0.0270  0.2053
Ba  0.1173  0.5904  0.9120
Ba  0.1784  0.2053  0.5880
Ba  0.1784  0.4730  0.5904
Ba  0.2053  0.1173  0.0270
Ba  0.2053  0.5880  0.1784
Ba  0.2947  0.3216  0.9120
Ba  0.2947  0.4730  0.3827
Ba  0.3216  0.9096  0.0270
Ba  0.3216  0.9120  0.2947
Ba  0.3827  0.2947  0.4730
Ba  0.3827  0.5880  0.9096
Ba  0.4096  0.0880  0.8827
Ba  0.4096  0.8216  0.5270
Ba  0.4120  0.0904  0.6173
Ba  0.4120  0.8216  0.7947
Ba  0.4730  0.3827  0.2947
Ba  0.4730  0.5904  0.1784
Ba  0.5270  0.4096  0.8216
Ba  0.5270  0.6173  0.7053
Ba  0.5880  0.1784  0.2053
Ba  0.5880  0.9096  0.3827
Ba  0.5904  0.1784  0.4730
Ba  0.5904  0.9120  0.1173
Ba  0.6173  0.4120  0.0904
Ba  0.6173  0.7053  0.5270
Ba  0.6784  0.0880  0.7053
Ba  0.6784  0.0904  0.9730
Ba  0.7053  0.5270  0.6173
Ba  0.7053  0.6784  0.0880
Ba  0.7947  0.4120  0.8216
Ba  0.7947  0.8827  0.9730
Ba  0.8216  0.5270  0.4096
Ba  0.8216  0.7947  0.4120
Ba  0.8827  0.4096  0.0880
Ba  0.8827  0.9730  0.7947
Ba  0.9096  0.0270  0.3216
Ba  0.9096  0.3827  0.5880
Ba  0.9120  0.1173  0.5904
Ba  0.9120  0.2947  0.3216
Ba  0.9730  0.6784  0.0904
Ba  0.9730  0.7947  0.8827
Mg  0.1250  0.2500  0.3750
Mg  0.1250  0.3750  0.7500
Mg  0.2500  0.3750  0.1250
Mg  0.2500  0.8750  0.6250
Mg  0.3750  0.1250  0.2500
Mg  0.3750  0.7500  0.1250
Mg  0.6250  0.2500  0.8750
Mg  0.6250  0.8750  0.7500
Mg  0.7500  0.1250  0.3750
Mg  0.7500  0.6250  0.8750
Mg  0.8750  0.6250  0.2500
Mg  0.8750  0.7500  0.6250
Pd  0.0000  0.0000  0.0000
Pd  0.0000  0.0000  0.5000
Pd  0.0000  0.5000  0.0000
Pd  0.0000  0.5000  0.5000
Pd  0.1250  0.7500  0.8750
Pd  0.1250  0.8750  0.2500
Pd  0.2500  0.1250  0.8750
Pd  0.2500  0.6250  0.3750
Pd  0.3750  0.2500  0.6250
Pd  0.3750  0.6250  0.7500
Pd  0.5000  0.0000  0.0000
Pd  0.5000  0.0000  0.5000
Pd  0.5000  0.5000  0.0000
Pd  0.5000  0.5000  0.5000
Pd  0.6250  0.3750  0.2500
Pd  0.6250  0.7500  0.3750
Pd  0.7500  0.3750  0.6250
Pd  0.7500  0.8750  0.1250
Pd  0.8750  0.1250  0.7500
Pd  0.8750  0.2500  0.1250



A plane-wave DFT calculation with PBE-GGA was carried out for crystalline BaMgPd at its relaxed geometry.

Output
The calculation puts the formation energy at -44.7 kJ/mol of atoms. The total magnetic moment is 0.0 μB per formula unit. The electronic total energy comes out at -3.3670 eV per atom.

Unit cell a=10.5150 b=10.5150 c=4.4107 alpha=90.00 beta=90.00 gamma=156.33
Fractional coordinates of all 6 atoms:
Ba  0.1018  0.8982  0.7500
Ba  0.8982  0.1018  0.2500
Mg  0.2507  0.7493  0.2500
Mg  0.7493  0.2507  0.7500
Pd  0.3299  0.6701  0.7500
Pd  0.6701  0.3299  0.2500



A plane-wave DFT calculation with PBE-GGA was carried out for crystalline BaMg2PdPt at its relaxed geometry.

Output
The calculation puts the formation energy at 142.4 kJ/mol of atoms. The total magnetic moment is 0.0 μB per formula unit. The electronic total energy comes out at -1.7930 eV per atom.

Unit cell a=6.0609 b=6.0609 c=5.2030 alpha=90.00 beta=90.00 gamma=90.00
Fractional coordinates of all 5 atoms:
Ba  0.0000  0.0000  0.0000
Mg  0.0000  0.5000  0.0000
Mg  0.5000  0.0000  0.0000
Pd  0.0000  0.0000  0.5000
Pt  0.5000  0.5000  0.5000



A plane-wave DFT calculation with PBE-GGA was carried out for crystalline RbBaMg2Pd at its relaxed geometry.

Output
The calculation puts the formation energy at -13.8 kJ/mol of atoms. The total magnetic moment is 0.0 μB per formula unit. The electronic total energy comes out at -2.3971 eV per atom.

Unit cell a=5.4653 b=5.4653 c=5.9756 alpha=90.00 beta=90.00 gamma=90.00
Fractional coordinates of all 5 atoms:
Rb  0.0000  0.0000  0.0000
Ba  0.5000  0.5000  0.0000
Mg  0.0000  0.5000  0.5000
Mg  0.5000  0.0000  0.5000
Pd  0.5000  0.5000  0.5000



A plane-wave DFT calculation with PBE-GGA was carried out for crystalline BaMgRe2Pd at its relaxed geometry.

Output
The calculation puts the formation energy at 203.6 kJ/mol of atoms. The total magnetic moment is 4.7 μB per formula unit. The electronic total energy comes out at -4.6109 eV per atom.

Unit cell a=4.7733 b=4.7733 c=5.7438 alpha=90.00 beta=90.00 gamma=90.00
Fractional coordinates of all 5 atoms:
Ba  0.0000  0.0000  0.0000
Mg  0.0000  0.0000  0.5000
Re  0.0000  0.5000  0.5000
Re  0.5000  0.0000  0.5000
Pd  0.5000  0.5000  0.0000



A plane-wave DFT calculation with PBE-GGA was carried out for crystalline Ba2MgSb3Pd4 at its relaxed geometry.

Output
The total magnetic moment is 0.0 μB per formula unit. The electronic total energy comes out at -4.6627 eV per atom. The formation energy from raw total energies is -0.8048 eV per atom.

Unit cell a=4.7422 b=4.7422 c=10.8718 alpha=90.00 beta=90.00 gamma=90.00
Fractional coordinates of all 10 atoms:
Ba  0.0000  0.5000  0.2425
Ba  0.5000  0.0000  0.7575
Mg  0.0000  0.0000  0.5000
Sb  0.0000  0.5000  0.8747
Sb  0.5000  0.0000  0.1253
Sb  0.5000  0.5000  0.5000
Pd  0.0000  0.0000  0.0000
Pd  0.0000  0.5000  0.6234
Pd  0.5000  0.0000  0.3766
Pd  0.5000  0.5000  0.0000



A plane-wave DFT calculation with PBE-GGA was carried out for crystalline Ba2MgSn3Pd4 at its relaxed geometry.

Output
The calculation puts the formation energy at -67.6 kJ/mol of atoms. The total magnetic moment is 0.0 μB per formula unit. The electronic total energy comes out at -4.5222 eV per atom.

Unit cell a=4.7877 b=4.7877 c=10.8007 alpha=90.00 beta=90.00 gamma=90.00
Fractional coordinates of all 10 atoms:
Ba  0.0000  0.5000  0.2450
Ba  0.5000  0.0000  0.7550
Mg  0.0000  0.0000  0.5000
Sn  0.0000  0.5000  0.8808
Sn  0.5000  0.0000  0.1192
Sn  0.5000  0.5000  0.5000
Pd  0.0000  0.0000  0.0000
Pd  0.0000  0.5000  0.6262
Pd  0.5000  0.0000  0.3738
Pd  0.5000  0.5000  0.0000



A plane-wave DFT calculation with PBE-GGA was carried out for crystalline Ba2MgSnPd6 at its relaxed geometry.

Output
The calculation puts the formation energy at -51.0 kJ/mol of atoms. The total magnetic moment is 0.0 μB per formula unit. The electronic total energy comes out at -4.5886 eV per atom.

Unit cell a=5.7850 b=7.0608 c=7.0936 alpha=83.25 beta=65.94 gamma=65.83
Fractional coordinates of all 10 atoms:
Ba  0.0444  0.2092  0.2021
Ba  0.9556  0.7908  0.7979
Mg  0.5000  0.5000  0.0000
Sn  0.5000  0.0000  0.5000
Pd  0.0037  0.7362  0.2728
Pd  0.3451  0.4072  0.4046
Pd  0.4877  0.7368  0.2720
Pd  0.5123  0.2632  0.7280
Pd  0.6550  0.5928  0.5954
Pd  0.9963  0.2638  0.7272



A plane-wave DFT calculation with PBE-GGA was carried out for crystalline BaMg2SnPd at its relaxed geometry.

Output
The calculation puts the formation energy at -41.7 kJ/mol of atoms. The total magnetic moment is 0.0 μB per formula unit. The electronic total energy comes out at -3.2938 eV per atom.

Unit cell a=5.1568 b=5.1568 c=5.2407 alpha=90.00 beta=90.00 gamma=90.00
Fractional coordinates of all 5 atoms:
Ba  0.0000  0.0000  0.0000
Mg  0.0000  0.5000  0.5000
Mg  0.5000  0.0000  0.5000
Sn  0.5000  0.5000  0.0000
Pd  0.5000  0.5000  0.5000



A plane-wave DFT calculation with PBE-GGA was carried out for crystalline Ba2SrMgPd at its relaxed geometry.

Output
The calculation puts the formation energy at -19.7 kJ/mol of atoms. The total magnetic moment is 0.0 μB per formula unit. The electronic total energy comes out at -2.6672 eV per atom.

Unit cell a=6.2899 b=6.2899 c=5.4039 alpha=90.00 beta=90.00 gamma=90.00
Fractional coordinates of all 5 atoms:
Ba  0.0000  0.5000  0.0000
Ba  0.5000  0.0000  0.0000
Sr  0.0000  0.0000  0.5000
Mg  0.5000  0.5000  0.5000
Pd  0.5000  0.5000  0.0000



A plane-wave DFT calculation with PBE-GGA was carried out for crystalline BaSrMg2Pd at its relaxed geometry.

Output
The calculation puts the formation energy at -24.8 kJ/mol of atoms. The total magnetic moment is 0.0 μB per formula unit. The electronic total energy comes out at -2.6543 eV per atom.

Unit cell a=5.3968 b=5.3968 c=5.6853 alpha=90.00 beta=90.00 gamma=90.00
Fractional coordinates of all 5 atoms:
Ba  0.0000  0.0000  0.0000
Sr  0.5000  0.5000  0.0000
Mg  0.0000  0.5000  0.5000
Mg  0.5000  0.0000  0.5000
Pd  0.5000  0.5000  0.5000



A plane-wave DFT calculation with PBE-GGA was carried out for crystalline BaSrMg2Pd at its relaxed geometry.

Output
The calculation puts the formation energy at -19.0 kJ/mol of atoms. The total magnetic moment is 0.0 μB per formula unit. The electronic total energy comes out at -2.5942 eV per atom.

Unit cell a=5.4081 b=5.4081 c=5.8570 alpha=90.00 beta=90.00 gamma=90.00
Fractional coordinates of all 5 atoms:
Ba  0.0000  0.0000  0.0000
Sr  0.5000  0.5000  0.0000
Mg  0.0000  0.5000  0.5000
Mg  0.5000  0.0000  0.5000
Pd  0.0000  0.0000  0.5000



Question: Which value of total magnetic moment does entry 4 give?
Answer: 0.0 μB per formula unit



Question: What is the total magnetic moment in the eighth record?
Answer: 0.0 μB per formula unit



Question: Which of these has the lowest electronic total energy?
Answer: Ba2MgSb3Pd4